DFT (GGA-PBE) results for a relaxed Mn2SnPd9 crystal. Values from VASP.

Quantum ESPRESSO input file:
```
&SYSTEM
  ibrav = 0, nat = 12, ntyp = 3
/
ATOMIC_SPECIES
Pd 106.42 Pd.upf
Mn 54.94 Mn.upf
Sn 118.71 Sn.upf
ATOMIC_POSITIONS crystal
Pd 0.500 0.500 0.336
Mn 0.000 0.000 0.663
Pd 0.000 0.500 0.500
Sn 0.000 0.000 0.000
Pd 0.000 0.500 0.827
Pd 0.500 0.500 0.000
Pd 0.500 0.000 0.173
Pd 0.500 0.500 0.664
Pd 0.000 0.500 0.173
Pd 0.500 0.000 0.500
Pd 0.500 0.000 0.827
Mn 0.000 0.000 0.337
CELL_PARAMETERS angstrom
3.974 0.000 0.000
0.000 3.974 0.000
0.000 0.000 11.816
```

Summary:
DFT formation energy ... -0.3098 eV per atom